# Ce3P4Rh2 (GGA-PBE, relaxed)
# Calculated volume ... 19.55 Å³ per atom
# Calculated formation energy ... -1212 meV/atom
data_Ce3P4Rh2
_cell_length_a 11.9134
_cell_length_b 4.0492
_cell_length_c 8.4039
_cell_angle_alpha 90.00
_cell_angle_beta 119.78
_cell_angle_gamma 90.00
_space_group_name_H-M_alt 'C 1 2/m 1'
_space_group_IT_number 12
loop_
_space_group_symop_operation_xyz
'x,y,z'
'-x,-y,-z'
'-x,y,-z'
'x,-y,z'
'x+1/2,y+1/2,z'
'-x+1/2,-y+1/2,-z'
'-x+1/2,y+1/2,-z'
'x+1/2,-y+1/2,z'
loop_
_atom_site_label
_atom_site_type_symbol
_atom_site_fract_x
_atom_site_fract_y
_atom_site_fract_z
_atom_site_occupancy
Ce1 Ce 0.0000 0.0000 0.0000 1
Ce2 Ce 0.1321 0.5000 0.7251 1
P1 P 0.0880 0.0000 0.3938 1
P2 P 0.1846 0.5000 0.0960 1
Rh1 Rh 0.1802 0.5000 0.3728 1